Here is a geometry-optimized NaNpIr4 structure from Alexandria via LeMat-Bulk. Energies are from PBE.

POSCAR file:
```
NaNpIr4
1.0
0.000 3.746 3.746
3.746 0.000 3.746
3.746 3.746 0.000
Na Np Ir
1 1 4
Cartesian
0.000 0.000 0.000
5.619 5.619 5.619
2.806 2.806 2.806
4.686 4.686 2.806
4.686 2.806 4.686
2.806 4.686 4.686
```

Values from the calculation:
ρ	16.2	g/cm3
formation energy from the elements	-0.20	eV/atom
VASP energy	-8.487	eV/atom